(1)
Here is crystalline Ho8Pd2Rh at its relaxed geometry from Alexandria via LeMat-Bulk. Energies are from PBE.

a b c (Å): 5.8787 7.7261 7.7261
angles (deg): 116.09 100.84 100.84
Fractional coordinates of all 11 atoms:
Ho1 0.5842 0.3399 0.0918
Ho2 0.5842 0.0918 0.3399
Ho3 0.1688 0.3637 0.3637
Ho4 0.9892 0.2091 0.7947
Ho5 0.9892 0.7947 0.2091
Ho6 0.8145 0.6434 0.6434
Ho7 0.3778 0.9119 0.6632
Ho8 0.3778 0.6632 0.9119
Pd1 0.4931 0.7032 0.3075
Pd2 0.4931 0.3075 0.7032
Rh1 0.1276 0.0056 0.0056

The calculation puts the density at 9.217 Mg/m³. The value obtained for the energy above the most stable polymorph in this dataset is 93 meV/atom. Its space group is No. 8. The formation energy comes out at -0.4025 eV/atom. For the total energy, the calculation gives -58.79 eV per formula unit.



(2)
Here is crystalline Tb3YSc2 at its relaxed geometry from Alexandria via LeMat-Bulk. Energies are from PBE.

a b c (Å): 5.4581 8.6412 8.6412
angles (deg): 111.69 90.00 90.00
Fractional coordinates of all 12 atoms:
Tb1 0.9930 0.8894 0.3746
Tb2 0.4930 0.6254 0.1106
Tb3 0.9930 0.3746 0.8894
Tb4 0.4930 0.1106 0.6254
Tb5 0.4930 0.9068 0.9068
Tb6 0.9930 0.0932 0.0932
Y1 0.9930 0.7238 0.7238
Y2 0.4930 0.2762 0.2762
Sc1 0.4930 0.6996 0.4881
Sc2 0.9930 0.5119 0.3004
Sc3 0.4930 0.4881 0.6996
Sc4 0.9930 0.3004 0.5119

The calculation puts the density at 5.749 Mg/m³. The value obtained for the energy above the most stable polymorph in this dataset is 139 meV/atom. Its space group is No. 63. The formation energy comes out at 0.2930 eV/atom. For the total energy, the calculation gives -31.26 eV per formula unit.



Question: Number 2 is which compound?
Answer: Tb3YSc2